K2V2O5 | PBE with a Hubbard U | relaxed

abc: 8.4742 8.4742 8.4742
angles: 60.97 137.04 138.89
With the nearest neighbours (Å) after each atom.
Element x y z (fractional)
K 0.0242 0.1165 0.1406  7 O 2.68-2.87
K 0.0242 0.3835 0.4077  7 O 2.68-2.87
K 0.9758 0.6165 0.5923  7 O 2.68-2.87
K 0.9758 0.8835 0.8594  7 O 2.68-2.87
V 0.4137 0.7441 0.1696  4 O 1.78-1.88
V 0.4730 0.4730 0.0000  2 O 1.76
V 0.4730 0.9730 0.5000  2 O 1.76
V 0.5744 0.2441 0.8304  4 O 1.78-1.88
O 0.0101 0.4566 0.0535  2 V 1.86-1.88
O 0.0705 0.3091 0.7808  1 V 1.76
O 0.0705 0.7896 0.2614  1 V 1.76
O 0.4031 0.9566 0.9465  2 V 1.86-1.88
O 0.4759 0.1621 0.5953  1 V 1.78
O 0.4759 0.3806 0.8137  1 V 1.78
O 0.5283 0.2896 0.2192  1 V 1.76
O 0.5283 0.8091 0.7386  1 V 1.76
O 0.5669 0.6621 0.1863  1 V 1.78
O 0.5669 0.8806 0.4047  1 V 1.78

## Properties
As for the calculated density: 3.20 g/cm³. The calculated total energy is -6.512 eV/atom.